The following is a DFT calculation (PBE) of a relaxed Nd2CoMoN5 crystal.

Lattice parameters (Å, degrees): 3.2461 14.2456 10.0750 90.00 90.00 90.00
With the nearest neighbours (Å) after each atom.
Space group Cmc2_1 (No. 36)
One atom of each set of equivalent atoms:
Nd1 0.0000 0.1183 0.0000  7 N 2.46-2.66
Nd2 0.0000 0.1235 0.6181  6 N 2.44-2.57
Co1 0.0000 0.4468 0.7493  4 N 1.77-1.91
Mo1 0.0000 0.2079 0.3225  1 N 1.81
N1 0.0000 0.0278 0.3102  2 Co 1.77
N2 0.0000 0.3024 0.9575  2 Mo 2.12
N3 0.0000 0.3215 0.6811  1 Co 1.91
N4 0.0000 0.3348 0.3075  1 Mo 1.81
N5 0.0000 0.4983 0.5798  1 Co 1.86

**Raw total energy**: -8.291 eV per atom
**Volume**: 12.942 A^3/atom

***

The following is a DFT calculation (PBE) of a relaxed KCaMn2B crystal.

Lattice parameters (Å, degrees): 5.2714 5.2714 6.1134 90.00 90.00 90.00
With the nearest neighbours (Å) after each atom.
Space group P4/mmm (No. 123)
One atom of each set of equivalent atoms:
K1 0.0000 0.0000 0.0000  2 Ca 3.06
Ca1 0.0000 0.0000 0.5000  4 Mn 2.64
Mn1 0.0000 0.5000 0.5000  2 Ca 2.64
B1 0.5000 0.5000 0.0000  4 K 3.73, 8 Mn 4.04

**Raw total energy**: -3.324 eV per atom
**Volume**: 33.975 A^3/atom

***

The following is a DFT calculation (PBE) of a relaxed LiPmSb2 crystal.

Lattice parameters (Å, degrees): 3.9613 3.9613 6.5445 90.00 90.00 90.00
With the nearest neighbours (Å) after each atom.
Space group P4/mmm (No. 123)
One atom of each set of equivalent atoms:
Li1 0.0000 0.0000 0.0000  8 Sb 3.18, 2 Pm 3.27
Pm1 0.0000 0.0000 0.5000  2 Li 3.27, 8 Sb 3.31
Sb1 0.5000 0.5000 0.2304  1 Sb 3.02, 4 Li 3.18, 4 Pm 3.31

**Volume**: 25.674 A^3/atom
**Polymorph energy (0 for the lowest one)**: 0.219 eV/atom

***

The following is a DFT calculation (PBE) of a relaxed K2BaTl4 crystal.

Lattice parameters (Å, degrees): 22.7403 6.9611 6.7316 90.00 96.95 90.00
With the nearest neighbours (Å) after each atom.
Space group C2/c (No. 15)
One atom of each set of equivalent atoms:
K1 0.1982 0.0841 0.1754  2 K 3.56, 7 Tl 3.58-3.93
Ba1 0.0000 0.2681 0.2500  10 Tl 3.69-3.99
Tl1 0.0719 0.2076 0.7875  3 Tl 3.17-3.31
Tl2 0.1517 0.4428 0.5187  4 Tl 3.17-3.46

**Raw total energy**: -2.090 eV per atom
**Volume**: 37.777 A^3/atom

***

The following is a DFT calculation (PBE) of a relaxed Y2AlBI crystal.

Lattice parameters (Å, degrees): 5.6533 5.6533 4.4576 90.00 90.00 90.00
With the nearest neighbours (Å) after each atom.
Space group P4/mmm (No. 123)
One atom of each set of equivalent atoms:
Y1 0.0000 0.5000 0.0000  2 I 2.83
Al1 0.0000 0.0000 0.5000  8 Y 3.60, 4 B 4.00
B1 0.5000 0.5000 0.5000  2 I 2.23
I1 0.5000 0.5000 0.0000  2 B 2.23

**Raw total energy**: -4.033 eV per atom
**Volume**: 28.493 A^3/atom

***

The following is a DFT calculation (PBE) of a relaxed Cr2SiPAu crystal.

Lattice parameters (Å, degrees): 7.0210 4.0425 5.6185 90.00 90.06 90.00
With the nearest neighbours (Å) after each atom.
Space group Cm (No. 8)
One atom of each set of equivalent atoms:
Cr1 0.0000 0.0000 0.0000  3 P 2.53, 3 Cr 2.65, 3 Au 2.83
Cr2 0.1664 0.5000 0.2216  3 P 2.35
Si1 0.3341 0.0000 0.5799  1 P 2.28, 3 Au 2.46
P1 0.3334 0.0000 0.1734  1 Si 2.28, 6 Cr 2.35-2.53
Au1 0.1670 0.5000 0.7168  3 Si 2.46

**Volume**: 15.946 A^3/atom
**Polymorph energy (0 for the lowest one)**: 0.103 eV/atom